Here is an optimized crystal structure of UAsSe from Alexandria. Energies are from PBE.

It has space group P-3m1 (No. 164), with a = 4.3216 Å, b = 4.3216 Å, c = 10.2294 Å, α = 90.00°, β = 90.00° and γ = 120.00°. Symmetry generates all atoms from U at (0.0000, 0.0000, 0.1803), As at (0.3333, 0.6667, 0.9850) and Se at (0.3333, 0.6667, 0.3253).

As for the total energy: -7.104 eV per atom. The calculated density is 7.87 g cm⁻³.